[1]
PBE Pb5Se5Cl, relaxed; symmetry = C2/m, No. 12; total DFT energy (no corrections) = -3.9486 eV/atom; spin magnetization = 0.000 Bohr magnetons per cell; D(E_F) = 0.589 states/eV per atom; density = 7.02 g/cm3
1.0
6.799 -3.055 0.000
6.799 3.055 0.000
-2.865 0.000 8.350
Pb Se Cl
5 5 1
Direct
0.000 0.000 0.000
0.327 0.327 0.184
0.332 0.332 0.645
0.668 0.668 0.355
0.673 0.673 0.816
0.165 0.165 0.331
0.175 0.175 0.852
0.500 0.500 0.500
0.825 0.825 0.148
0.835 0.835 0.669
0.500 0.500 0.000

[2]
PBE RbCaSmO3, relaxed; symmetry = P2_1/m, No. 11; total DFT energy (no corrections) = -6.3759 eV/atom; spin magnetization = 0.095 Bohr magnetons per cell; D(E_F) = 0.000 states/eV per atom; density = 5.08 g/cm3
1.0
6.204 0.000 0.000
0.000 3.719 0.000
-1.788 0.000 9.181
Rb Ca Sm O
2 2 2 6
Direct
0.139 0.250 0.176
0.861 0.750 0.824
0.386 0.250 0.859
0.614 0.750 0.141
0.259 0.750 0.538
0.741 0.250 0.462
0.068 0.250 0.627
0.296 0.750 0.962
0.481 0.750 0.368
0.519 0.250 0.632
0.704 0.250 0.038
0.932 0.750 0.373

no.,E_form (uncorrected) (eV per atom)
1,-0.51
2,-2.62